Material: BeTlIn2
Method: DFT, PBE
State: optimized geometry

Computed properties:
excess energy over the best structure of this formula in the dataset = 210 meV per atom
calculated formation energy = 48.2 kJ per mole of atoms
M_tot = 0.000 μB per atom

Lattice parameters (Å, degrees): 4.707 4.707 8.611 90.00 90.00 90.00
Space group I4/mmm (No. 139)
Asymmetric unit:
Be: 0.000 0.000 0.000 [2 per cell]
Tl: 0.000 0.000 0.500 [2 per cell]
In: 0.000 0.500 0.250 [4 per cell]